## Pm2Sm4Tm5 (PBE-GGA)

Data for crystalline Pm2Sm4Tm5 at its relaxed geometry.

Calculated values
The excess energy over the best structure of this formula in the dataset comes out at 1.07 eV per formula unit. For the total magnetization, the calculation gives 0.000 μB/atom. For the electronic total energy, the calculation gives -49.4 eV/cell. The value obtained for the energy of formation from the pure elements is 124 kJ/mol of formula units.

Structure (CIF):
```
data_Pm2Sm4Tm5
_chemical_formula_sum 'Pm2 Sm4 Tm5'
_symmetry_space_group_name_H-M 'P 1'
_symmetry_Int_Tables_number 1
_cell_length_a 7.410
_cell_length_b 6.685
_cell_length_c 9.940
_cell_angle_alpha 63.69
_cell_angle_beta 68.11
_cell_angle_gamma 56.34
loop_
_symmetry_equiv_pos_as_xyz
'x,y,z'
loop_
_atom_site_label
_atom_site_type_symbol
_atom_site_fract_x
_atom_site_fract_y
_atom_site_fract_z
Tm1 Tm 0.652 0.354 0.782
Tm2 Tm 0.000 0.500 0.500
Tm3 Tm 0.788 0.646 0.218
Tm4 Tm 0.348 0.646 0.218
Tm5 Tm 0.212 0.354 0.782
Pm1 Pm 0.855 0.163 0.126
Pm2 Pm 0.145 0.837 0.874
Sm1 Sm 0.325 0.225 0.126
Sm2 Sm 0.675 0.775 0.874
Sm3 Sm 0.321 0.860 0.498
Sm4 Sm 0.679 0.140 0.502
```